# PBE Cs2ZrOsI, relaxed
# * energy relative to the elements, uncorrected: 292 kJ/mol of formula units
# * calculated density: 4.53 g/cm³
# * energy: -4.0009 eV per atom
data_Cs2ZrOsI
_chemical_formula_sum 'Cs2 Zr1 Os1 I1'
_symmetry_space_group_name_H-M 'P 4/m m m'
_symmetry_Int_Tables_number 123
_symmetry_space_group_name_Hall '-P 4 2'
_cell_length_a 7.264
_cell_length_b 7.264
_cell_length_c 4.685
_cell_angle_alpha 90.00
_cell_angle_beta 90.00
_cell_angle_gamma 90.00
loop_
_atom_site_label
_atom_site_fract_x
_atom_site_fract_y
_atom_site_fract_z
Cs1 0.000 0.500 0.000
Zr1 0.000 0.000 0.000
Os1 0.000 0.000 0.500
I1 0.500 0.500 0.500